# SmYPd2, optimized geometry, DFT PBE
data_SmYPd2
_chemical_formula_sum 'Sm3 Y3 Pd6'
_cell_length_a 4.1406
_cell_length_b 4.1406
_cell_length_c 20.0933
_cell_angle_alpha 90.00
_cell_angle_beta 90.00
_cell_angle_gamma 120.00
_symmetry_space_group_name_H-M 'R -3 m'
_symmetry_Int_Tables_number 166
_symmetry_space_group_name_Hall '-R 3 2"'
loop_
_atom_site_label
_atom_site_type_symbol
_atom_site_fract_x
_atom_site_fract_y
_atom_site_fract_z
Sm1 Sm 0.0000 0.0000 0.0000
Y1 Y 0.0000 0.0000 0.5000
Pd1 Pd 0.0000 0.0000 0.2481
# E_tot, eV for the cell shown: -73.17
# M_tot, μB/f.u.: 0.00
# DOS(E_F), states/eV/cell: 8.2
# Energy above the lowest structure with this stoichiometry, kcal/mol of atoms: 3.89
# Energy relative to the elements, eV/f.u.: -2.82